MgCdHg | GGA-PBE | optimized geometry

Output
**Spin magnetization**: 0.00 μB per formula unit
**Final energy**: -1.05 eV per atom

Structure (CIF):
```
data_MgCdHg
_space_group_name_H-M_alt 'C m c m'
_space_group_IT_number 63
_space_group_name_Hall '-C 2c 2'
_cell_length_a 4.874
_cell_length_b 9.234
_cell_length_c 5.902
_cell_angle_alpha 90.00
_cell_angle_beta 90.00
_cell_angle_gamma 90.00
loop_
_atom_site_label
_atom_site_type_symbol
_atom_site_fract_x
_atom_site_fract_y
_atom_site_fract_z
_atom_site_occupancy
Mg1 Mg 0.000 0.178 0.250 1
Cd1 Cd 0.000 0.500 0.000 1
Hg1 Hg 0.000 0.152 0.750 1
```

AcLa2Pm6Nd3 | GGA-PBE | optimized geometry

Output
**Spin magnetization**: 0.00 μB per formula unit
**Final energy**: -4.71 eV per atom

Structure (CIF):
```
data_AcLa2Pm6Nd3
_space_group_name_H-M_alt 'C 1 2/m 1'
_space_group_IT_number 12
_space_group_name_Hall '-C 2y'
_cell_length_a 6.430
_cell_length_b 11.148
_cell_length_c 12.229
_cell_angle_alpha 90.00
_cell_angle_beta 100.18
_cell_angle_gamma 90.00
loop_
_atom_site_label
_atom_site_type_symbol
_atom_site_fract_x
_atom_site_fract_y
_atom_site_fract_z
_atom_site_occupancy
Ac1 Ac 0.000 0.000 0.000 1
La1 La 0.000 0.333 0.000 1
Pm1 Pm 0.247 0.333 0.746 1
Pm2 Pm 0.250 0.000 0.746 1
Nd1 Nd 0.000 0.167 0.500 1
Nd2 Nd 0.000 0.500 0.500 1
```